1.
# Pm2PrPt

An optimized crystal structure of Pm2PrPt (GGA-PBE, Alexandria).

**Symmetry**: R3m, No. 160
**ΔH_f (0 K)**: -0.485 eV per atom

The structure in CIF format:
```
data_Pm2PrPt
_chemical_formula_sum 'Pm2 Pr1 Pt1'
_cell_length_a 4.036
_cell_length_b 4.036
_cell_length_c 9.603
_cell_angle_alpha 77.87
_cell_angle_beta 77.87
_cell_angle_gamma 60.00
_space_group_name_H-M_alt 'P 1'
_space_group_IT_number 1
_space_group_name_Hall 'P 1'
loop_
_atom_site_label
_atom_site_type_symbol
_atom_site_fract_x
_atom_site_fract_y
_atom_site_fract_z
_atom_site_occupancy
Pr1 Pr 0.501 0.501 0.496 1
Pm1 Pm 0.273 0.273 0.181 1
Pm2 Pm 0.060 0.060 0.820 1
Pt1 Pt 0.666 0.666 0.002 1
```

=====

2.
# PmPr5Pt5

An optimized crystal structure of PmPr5Pt5 (GGA-PBE, Alexandria).

**Symmetry**: C2/m, No. 12
**ΔH_f (0 K)**: -0.957 eV per atom

The structure in CIF format:
```
data_PmPr5Pt5
_chemical_formula_sum 'Pm1 Pr5 Pt5'
_cell_length_a 5.934
_cell_length_b 7.295
_cell_length_c 8.446
_cell_angle_alpha 106.88
_cell_angle_beta 90.00
_cell_angle_gamma 114.00
_space_group_name_H-M_alt 'P 1'
_space_group_IT_number 1
_space_group_name_Hall 'P 1'
loop_
_atom_site_label
_atom_site_type_symbol
_atom_site_fract_x
_atom_site_fract_y
_atom_site_fract_z
_atom_site_occupancy
Pt1 Pt 0.165 0.329 0.334 1
Pt2 Pt 0.500 0.000 0.000 1
Pt3 Pt 0.162 0.324 0.829 1
Pt4 Pt 0.835 0.671 0.666 1
Pt5 Pt 0.838 0.676 0.171 1
Pr1 Pr 0.673 0.346 0.329 1
Pr2 Pr 0.672 0.344 0.843 1
Pr3 Pr 0.000 0.000 0.500 1
Pr4 Pr 0.328 0.656 0.157 1
Pr5 Pr 0.327 0.654 0.671 1
Pm1 Pm 0.000 0.000 0.000 1
```

=====

3.
# PmPr2Pt3

An optimized crystal structure of PmPr2Pt3 (GGA-PBE, Alexandria).

**Symmetry**: Immm, No. 71
**ΔH_f (0 K)**: -1.039 eV per atom

The structure in CIF format:
```
data_PmPr2Pt3
_chemical_formula_sum 'Pm1 Pr2 Pt3'
_cell_length_a 4.217
_cell_length_b 5.950
_cell_length_c 7.288
_cell_angle_alpha 114.09
_cell_angle_beta 106.82
_cell_angle_gamma 90.00
_space_group_name_H-M_alt 'P 1'
_space_group_IT_number 1
_space_group_name_Hall 'P 1'
loop_
_atom_site_label
_atom_site_type_symbol
_atom_site_fract_x
_atom_site_fract_y
_atom_site_fract_z
_atom_site_occupancy
Pt1 Pt 0.336 0.336 0.672 1
Pt2 Pt 0.664 0.664 0.328 1
Pt3 Pt 0.000 0.000 0.000 1
Pm1 Pm 0.000 0.500 0.000 1
Pr1 Pr 0.333 0.833 0.666 1
Pr2 Pr 0.667 0.167 0.334 1
```